An optimized crystal structure of CrOs4. Source: Alexandria via LeMat-Bulk, functional PBEsol.

Cell and atoms, written as POSCAR:
```
CrOs4
1.0
-1.3190 1.6669 4.2058
3.9386 -2.5419 0.4827
0.8027 3.5987 -2.9346
Cr Os
1 4
Direct
0.0000 0.0000 0.0000
0.0000 0.0000 0.5000
0.0000 0.5000 0.0000
0.5000 0.0000 0.0000
0.5000 0.5000 0.5000
```

Values from the calculation:
ρ (g/cm³): 16.8
Magnetization (μB/cell): 0.000
Volume (Å³/cell): 81
Electronic total energy (eV per atom): -10.32
Calculated formation energy (kJ per mole of atoms): 144.9
Distance to the lowest polymorph of the same formula (meV per atom): 1375.4



An optimized crystal structure of CrOs2. Source: Alexandria via LeMat-Bulk, functional PBEsol.

Cell and atoms, written as POSCAR:
```
CrOs2
1.0
2.6972 0.0000 0.0000
0.0000 4.2714 0.0000
-1.3486 0.0000 6.8732
Cr Os
2 4
Direct
0.2241 0.2500 0.4483
0.7759 0.7500 0.5517
0.8829 0.2500 0.7657
0.5598 0.2500 0.1196
0.4402 0.7500 0.8804
0.1171 0.7500 0.2343
```

Values from the calculation:
ρ (g/cm³): 18.1
Magnetization (μB/cell): 0.013
Volume (Å³/cell): 79
Electronic total energy (eV per atom): -11.49
Calculated formation energy (kJ per mole of atoms): 6.2



An optimized crystal structure of CrOs. Source: Alexandria via LeMat-Bulk, functional PBEsol.

Cell and atoms, written as POSCAR:
```
CrOs
1.0
-1.7097 1.3490 -1.5246
-0.5146 -3.6311 -2.6385
-2.1131 -0.2254 4.4915
Cr Os
2 2
Direct
0.3719 0.2056 0.7453
0.6281 0.7944 0.2548
0.8765 0.7064 0.7530
0.1236 0.2936 0.2471
```

Values from the calculation:
ρ (g/cm³): 15.8
Magnetization (μB/cell): 0.001
Volume (Å³/cell): 51
Electronic total energy (eV per atom): -11.14
Calculated formation energy (kJ per mole of atoms): 8.4



An optimized crystal structure of Cr7Os6. Source: Alexandria via LeMat-Bulk, functional PBEsol.

Cell and atoms, written as POSCAR:
```
Cr7Os6
1.0
-4.4411 -0.9456 0.9520
-2.8274 -1.4879 -3.3638
-0.2925 -8.9810 1.0193
Cr Os
7 6
Direct
0.4074 0.4074 0.2733
0.9119 0.4074 0.2733
0.4074 0.9119 0.2733
0.5926 0.5926 0.7267
0.5926 0.0881 0.7267
0.0881 0.5926 0.7267
0.5000 0.5000 0.5000
0.9524 0.9524 0.1428
0.0476 0.0476 0.8572
0.8481 0.8481 0.4558
0.1519 0.1519 0.5442
0.6674 0.6674 0.9979
0.3326 0.3326 0.0021
```

Values from the calculation:
ρ (g/cm³): 15.5
Magnetization (μB/cell): 0.001
Volume (Å³/cell): 161
Electronic total energy (eV per atom): -11.12
Calculated formation energy (kJ per mole of atoms): 2.8



An optimized crystal structure of CrOs2. Source: Alexandria via LeMat-Bulk, functional PBEsol.

Cell and atoms, written as POSCAR:
```
CrOs2
1.0
2.6864 0.0000 0.0000
-1.3432 4.8302 -0.0056
0.0000 -1.5581 6.0859
Cr Os
2 4
Direct
0.0319 0.0638 0.8035
0.9681 0.9362 0.1965
0.6373 0.2747 0.5288
0.3105 0.6211 0.8668
0.6895 0.3789 0.1332
0.3627 0.7253 0.4712
```

Values from the calculation:
ρ (g/cm³): 18.2
Magnetization (μB/cell): 0.001
Volume (Å³/cell): 79
Electronic total energy (eV per atom): -11.54
Calculated formation energy (kJ per mole of atoms): 2.1



An optimized crystal structure of CrOs4. Source: Alexandria via LeMat-Bulk, functional PBEsol.

Cell and atoms, written as POSCAR:
```
CrOs4
1.0
3.7735 0.0000 0.0000
1.8868 4.2349 0.0000
1.8868 0.0000 4.2349
Cr Os
1 4
Direct
0.0000 0.0000 0.0000
0.7979 0.6020 0.8022
0.2021 0.3980 0.1978
0.6001 0.1978 0.6020
0.3999 0.8022 0.3980
```

Values from the calculation:
ρ (g/cm³): 19.9
Magnetization (μB/cell): 0.007
Volume (Å³/cell): 68
Electronic total energy (eV per atom): -11.69
Calculated formation energy (kJ per mole of atoms): 12.2
Distance to the lowest polymorph of the same formula (meV per atom): 0.0



An optimized crystal structure of Cr3Os2. Source: Alexandria via LeMat-Bulk, functional PBEsol.

Cell and atoms, written as POSCAR:
```
Cr3Os2
1.0
-1.8329 -2.7361 -2.3182
3.0450 2.1798 -1.4820
3.2575 -3.4961 1.5507
Cr Os
3 2
Direct
0.0000 0.0000 0.0000
0.3333 0.6667 0.3574
0.6667 0.3333 0.6426
0.3333 0.6667 0.8279
0.6667 0.3333 0.1721
```

Values from the calculation:
ρ (g/cm³): 12.6
Magnetization (μB/cell): 1.889
Volume (Å³/cell): 71
Electronic total energy (eV per atom): -10.48
Calculated formation energy (kJ per mole of atoms): 52.8



An optimized crystal structure of CrOs. Source: Alexandria via LeMat-Bulk, functional PBEsol.

Cell and atoms, written as POSCAR:
```
CrOs
1.0
4.2276 0.0000 0.0000
0.0000 4.6022 0.0000
0.0000 0.0000 5.2342
Cr Os
4 4
Direct
0.7500 0.9087 0.8776
0.2500 0.5913 0.3776
0.7500 0.4087 0.6224
0.2500 0.0913 0.1224
0.7500 0.9094 0.3739
0.2500 0.5906 0.8739
0.7500 0.4094 0.1261
0.2500 0.0906 0.6261
```

Values from the calculation:
ρ (g/cm³): 15.8
Magnetization (μB/cell): 0.000
Volume (Å³/cell): 102
Electronic total energy (eV per atom): -11.14
Calculated formation energy (kJ per mole of atoms): 8.4